1.
This record from Alexandria via LeMat-Bulk describes crystalline TbCd6Ag4 at its relaxed geometry. The functional is PBE.

Computed properties:
VASP energy = -1.97 eV per atom
Total magnetic moment = 0.0 μB/f.u.
Mass density = 7.92 Mg/m³

Unit cell a=7.2350 b=7.2350 c=7.2350 alpha=120.60 beta=120.60 gamma=88.97
Fractional positions:
1 Tb 0.0000 0.0000 0.0000
2 Cd 0.0000 0.5000 0.5000
3 Cd 0.1151 0.4549 0.0000
4 Cd 0.4549 0.1151 0.0000
5 Cd 0.5000 0.0000 0.5000
6 Cd 0.5451 0.5451 0.6602
7 Cd 0.8849 0.8849 0.3398
8 Ag 0.2555 0.2555 0.6465
9 Ag 0.3911 0.7445 0.0000
10 Ag 0.6089 0.6089 0.3535
11 Ag 0.7445 0.3911 0.0000

***

2.
This record from Alexandria via LeMat-Bulk describes crystalline TbCd3Ag at its relaxed geometry. The functional is PBE.

Computed properties:
Relative energy among the computed polymorphs = 10 kJ/mol of formula units
VASP energy = -2.22 eV per atom
Total magnetic moment = 0.0 μB/f.u.
Mass density = 8.49 Mg/m³

Unit cell a=9.2117 b=4.3009 c=11.9328 alpha=90.00 beta=90.00 gamma=90.00
Fractional positions:
1 Tb 0.1822 0.2500 0.0018
2 Tb 0.3178 0.7500 0.5018
3 Tb 0.6822 0.2500 0.4982
4 Tb 0.8178 0.7500 0.9982
5 Cd 0.0668 0.2500 0.4021
6 Cd 0.0826 0.7500 0.1978
7 Cd 0.1462 0.7500 0.7992
8 Cd 0.3538 0.2500 0.2992
9 Cd 0.4174 0.2500 0.6978
10 Cd 0.4332 0.7500 0.9021
11 Cd 0.5668 0.2500 0.0979
12 Cd 0.5826 0.7500 0.3022
13 Cd 0.6462 0.7500 0.7008
14 Cd 0.8538 0.2500 0.2008
15 Cd 0.9174 0.2500 0.8022
16 Cd 0.9332 0.7500 0.5979
17 Ag 0.1332 0.2500 0.6312
18 Ag 0.3668 0.7500 0.1312
19 Ag 0.6332 0.2500 0.8688
20 Ag 0.8668 0.7500 0.3688

***

3.
This record from Alexandria via LeMat-Bulk describes crystalline Tb3Cd2Ag3 at its relaxed geometry. The functional is PBE.

Computed properties:
Relative energy among the computed polymorphs = 0 kJ/mol of formula units
VASP energy = -3.29 eV per atom
Total magnetic moment = 0.0 μB/f.u.
Mass density = 8.93 Mg/m³

Unit cell a=3.7138 b=5.1339 c=20.0013 alpha=90.00 beta=90.00 gamma=90.00
Fractional positions:
1 Tb 0.0000 0.0000 0.0000
2 Tb 0.0000 0.5000 0.1289
3 Tb 0.0000 0.5000 0.8711
4 Tb 0.5000 0.0000 0.3711
5 Tb 0.5000 0.0000 0.6289
6 Tb 0.5000 0.5000 0.5000
7 Cd 0.0000 0.0000 0.2379
8 Cd 0.0000 0.0000 0.7621
9 Cd 0.5000 0.5000 0.2621
10 Cd 0.5000 0.5000 0.7379
11 Ag 0.0000 0.0000 0.5000
12 Ag 0.0000 0.5000 0.3765
13 Ag 0.0000 0.5000 0.6235
14 Ag 0.5000 0.0000 0.1235
15 Ag 0.5000 0.0000 0.8765
16 Ag 0.5000 0.5000 0.0000

***

4.
This record from Alexandria via LeMat-Bulk describes crystalline Tb3Cd2Ag at its relaxed geometry. The functional is PBE.

Computed properties:
VASP energy = -3.41 eV per atom
Total magnetic moment = 0.0 μB/f.u.
Mass density = 8.70 Mg/m³

Unit cell a=3.7155 b=3.7155 c=11.1977 alpha=90.00 beta=90.00 gamma=90.00
Fractional positions:
1 Tb 0.0000 0.0000 0.0000
2 Tb 0.0000 0.0000 0.3400
3 Tb 0.0000 0.0000 0.6600
4 Cd 0.5000 0.5000 0.1672
5 Cd 0.5000 0.5000 0.8328
6 Ag 0.5000 0.5000 0.5000

***

5.
This record from Alexandria via LeMat-Bulk describes crystalline TbCd6Ag6 at its relaxed geometry. The functional is PBE.

Computed properties:
Relative energy among the computed polymorphs = 5 kJ/mol of formula units
VASP energy = -2.20 eV per atom
Total magnetic moment = 0.0 μB/f.u.
Mass density = 9.07 Mg/m³

Unit cell a=7.5018 b=7.5018 c=7.5018 alpha=136.24 beta=98.80 gamma=97.17
Fractional positions:
1 Tb 0.0000 0.0000 0.0000
2 Cd 0.1920 0.6920 0.5000
3 Cd 0.3446 0.0000 0.3446
4 Cd 0.3457 0.3457 0.0000
5 Cd 0.6543 0.6543 0.0000
6 Cd 0.6554 0.0000 0.6554
7 Cd 0.8080 0.3080 0.5000
8 Ag 0.0000 0.0000 0.5000
9 Ag 0.0000 0.5000 0.0000
10 Ag 0.2230 0.5000 0.7230
11 Ag 0.5000 0.0000 0.0000
12 Ag 0.5000 0.5000 0.5000
13 Ag 0.7770 0.5000 0.2770

***

6.
This record from Alexandria via LeMat-Bulk describes crystalline TbCd8Ag6 at its relaxed geometry. The functional is PBE.

Computed properties:
VASP energy = -1.98 eV per atom
Total magnetic moment = 0.0 μB/f.u.
Mass density = 8.55 Mg/m³

Unit cell a=7.4225 b=7.4225 c=7.4225 alpha=66.75 beta=66.75 gamma=66.75
Fractional positions:
1 Tb 0.0000 0.0000 0.0000
2 Cd 0.1376 0.8077 0.4347
3 Cd 0.1923 0.5653 0.8624
4 Cd 0.2666 0.2666 0.2666
5 Cd 0.4347 0.1376 0.8077
6 Cd 0.5652 0.8624 0.1923
7 Cd 0.7334 0.7334 0.7334
8 Cd 0.8077 0.4348 0.1376
9 Cd 0.8624 0.1923 0.5652
10 Ag 0.0830 0.3758 0.6670
11 Ag 0.3330 0.9170 0.6241
12 Ag 0.3758 0.6670 0.0830
13 Ag 0.6241 0.3330 0.9170
14 Ag 0.6670 0.0830 0.3758
15 Ag 0.9170 0.6242 0.3330